VASP calculation (PBE) on crystalline IClF at its relaxed geometry.

Output
The volume comes out at 81.0 Å³/cell. As for the total energy: -2.28 eV per atom. As for the space group: No. 107. The calculation puts the total magnetization at 0.00 μB per formula unit.

```
IClF
1.0
4.677 0.000 0.000
0.000 4.677 0.000
-2.338 -2.338 3.705
F Cl I
1 1 1
direct
0.910 0.910 0.820
0.304 0.304 0.609
0.636 0.636 0.271
```